An optimized crystal structure of SiSbPdI2. Source: the Alexandria database, functional PBE.

abc: 5.411 5.411 5.282
angles: 90.00 90.00 90.00
Fractional coordinates of all 5 atoms:
I 0.000 0.500 0.000
I 0.500 0.000 0.000
Si 0.500 0.500 0.500
Sb 0.000 0.000 0.500
Pd 0.000 0.000 0.000

Output
polymorph energy (0 for the lowest one)	0.000	eV per atom
V	30.9	Å³ per atom
total moment	0.000	μB/f.u.
formation energy without anion corrections	0.62	eV/atom

---

An optimized crystal structure of PuSb2Au. Source: the Alexandria database, functional PBE.

abc: 4.657 4.657 8.629
angles: 74.34 74.34 60.00
Fractional coordinates of all 4 atoms:
Sb 0.105 0.105 0.684
Sb 0.895 0.895 0.316
Pu 0.500 0.500 0.500
Au 0.000 0.000 0.000

Output
V	38.5	Å³ per atom
total moment	5.142	μB/f.u.
formation energy without anion corrections	0.14	eV/atom

---

An optimized crystal structure of Ga3PbN. Source: the Alexandria database, functional PBE.

abc: 5.458 5.458 5.458
angles: 90.00 90.00 90.00
Fractional coordinates of all 5 atoms:
N 0.500 0.500 0.500
Ga 0.500 0.000 0.000
Ga 0.000 0.500 0.000
Ga 0.000 0.000 0.500
Pb 0.000 0.000 0.000

Output
polymorph energy (0 for the lowest one)	1.349	eV per atom
V	32.5	Å³ per atom
total moment	0.000	μB/f.u.
formation energy without anion corrections	1.76	eV/atom

---

An optimized crystal structure of Pr2TmGa3Pt4. Source: the Alexandria database, functional PBE.

abc: 4.270 4.270 11.377
angles: 90.00 90.00 90.00
Fractional coordinates of all 10 atoms:
Ga 0.000 0.500 0.124
Ga 0.500 0.000 0.876
Ga 0.000 0.000 0.500
Pt 0.500 0.000 0.654
Pt 0.500 0.500 0.000
Pt 0.000 0.500 0.346
Pt 0.000 0.000 0.000
Pr 0.000 0.500 0.770
Pr 0.500 0.000 0.230
Tm 0.500 0.500 0.500

Output
calculated formation energy	-1.00	eV per atom
V	20.7	Å³ per atom
total moment	0.000	μB/f.u.

---

An optimized crystal structure of MgTiCu2Pt. Source: the Alexandria database, functional PBE.

abc: 4.708 4.665 4.708
angles: 90.00 90.00 90.00
Fractional coordinates of all 5 atoms:
Pt 0.000 0.000 0.000
Cu 0.500 0.000 0.000
Cu 0.000 0.000 0.500
Ti 0.500 0.500 0.500
Mg 0.000 0.500 0.000

Output
calculated formation energy	0.67	eV per atom
V	20.7	Å³ per atom
total moment	0.005	μB/f.u.

---

An optimized crystal structure of Te2RhBr. Source: the Alexandria database, functional PBE.

abc: 5.654 5.654 7.452
angles: 67.70 67.70 90.00
Fractional coordinates of all 8 atoms:
Te 0.959 0.459 0.082
Te 0.541 0.041 0.918
Te 0.791 0.791 0.418
Te 0.209 0.209 0.582
Br 0.500 0.500 0.000
Br 0.250 0.750 0.500
Rh 0.750 0.250 0.500
Rh 0.000 0.000 0.000

Output
V	25.1	Å³ per atom
total moment	0.000	μB/f.u.
formation energy without anion corrections	-0.11	eV/atom

---

An optimized crystal structure of AcInAgBi. Source: the Alexandria database, functional PBE.

abc: 5.582 5.582 5.582
angles: 60.00 60.00 60.00
Fractional coordinates of all 4 atoms:
Ag 0.250 0.250 0.250
In 0.000 0.000 0.000
Bi 0.750 0.750 0.750
Ac 0.500 0.500 0.500

Output
calculated formation energy	-0.26	eV per atom
V	30.8	Å³ per atom
total moment	0.000	μB/f.u.

---

An optimized crystal structure of MnBeTe2. Source: the Alexandria database, functional PBE.

abc: 3.808 3.808 7.672
angles: 90.00 90.00 111.33
Fractional coordinates of all 4 atoms:
Te 0.000 0.000 0.891
Te 0.500 0.500 0.367
Be 0.000 0.000 0.535
Mn 0.500 0.500 0.707

Output
V	25.9	Å³ per atom
total moment	4.179	μB/f.u.
formation energy without anion corrections	0.16	eV/atom